a.
Here is a relaxed structure of Ho2ZnC from Alexandria via LeMat-Bulk. Energies are from PBE.

ρ   8.98 g cm⁻³
Crystal system   orthorhombic

a b c (Å): 6.6244 6.6244 6.4016
angles (deg): 90.00 90.00 147.58
Positions (direct):
Ho 0.1445 0.8555 0.0000
Ho 0.1445 0.8555 0.5000
Ho 0.8555 0.1445 0.0000
Ho 0.8555 0.1445 0.5000
Zn 0.4909 0.5091 0.7500
Zn 0.5091 0.4909 0.2500
C 0.3095 0.6905 0.7500
C 0.6905 0.3095 0.2500



b.
Here is a relaxed structure of Ho2ZnC from Alexandria via LeMat-Bulk. Energies are from PBE.

ρ   8.18 g cm⁻³
Crystal system   trigonal

a b c (Å): 7.6362 7.6362 7.6362
angles (deg): 27.31 27.31 27.31
Positions (direct):
Ho 0.2273 0.2273 0.2273
Ho 0.7727 0.7727 0.7727
Zn 0.0000 0.0000 0.0000
C 0.5000 0.5000 0.5000



We find b to be the most stable, with the next structure 0.024 eV/atom higher.